[1]
An optimized crystal structure of HfTiGe, computed with PBE-GGA.

Summary:
- Symmetry: Cmcm
- Formation energy: -0.370 eV per atom
- N(E_F): 0.88 states/eV/atom
- VASP energy: -7.8582 eV per atom

Structure (CIF):
```
data_HfTiGe
_cell_length_a 6.828
_cell_length_b 6.828
_cell_length_c 4.371
_cell_angle_alpha 90.00
_cell_angle_beta 90.00
_cell_angle_gamma 148.04
_symmetry_space_group_name_H-M 'P 1'
_symmetry_Int_Tables_number 1
loop_
_symmetry_equiv_pos_as_xyz
'x,y,z'
loop_
_atom_site_label
_atom_site_type_symbol
_atom_site_fract_x
_atom_site_fract_y
_atom_site_fract_z
Hf1 Hf 0.250 0.750 0.750
Hf2 Hf 0.750 0.250 0.250
Ti1 Ti 0.068 0.932 0.250
Ti2 Ti 0.932 0.068 0.750
Ge1 Ge 0.409 0.591 0.250
Ge2 Ge 0.591 0.409 0.750
```

[2]
An optimized crystal structure of CsBiI4, computed with PBE-GGA.

Summary:
- Symmetry: P2_1/c
- Uncorrected formation energy: -0.808 eV/atom
- Relative energy among the computed polymorphs: 25 meV per atom
- VASP energy: -2.6303 eV per atom

Structure (CIF):
```
data_CsBiI4
_cell_length_a 11.830
_cell_length_b 9.032
_cell_length_c 12.299
_cell_angle_alpha 90.00
_cell_angle_beta 102.23
_cell_angle_gamma 90.00
_symmetry_space_group_name_H-M 'P 1'
_symmetry_Int_Tables_number 1
loop_
_symmetry_equiv_pos_as_xyz
'x,y,z'
loop_
_atom_site_label
_atom_site_type_symbol
_atom_site_fract_x
_atom_site_fract_y
_atom_site_fract_z
Cs1 Cs 0.206 0.227 0.416
Cs2 Cs 0.206 0.273 0.916
Cs3 Cs 0.794 0.727 0.084
Cs4 Cs 0.794 0.773 0.584
Bi1 Bi 0.315 0.726 0.189
Bi2 Bi 0.315 0.774 0.689
Bi3 Bi 0.685 0.226 0.311
Bi4 Bi 0.685 0.274 0.811
I1 I 0.111 0.521 0.169
I2 I 0.111 0.979 0.669
I3 I 0.156 0.518 0.635
I4 I 0.156 0.982 0.135
I5 I 0.352 0.668 0.959
I6 I 0.352 0.832 0.459
I7 I 0.452 0.081 0.777
I8 I 0.452 0.419 0.277
I9 I 0.548 0.581 0.723
I10 I 0.548 0.919 0.223
I11 I 0.648 0.168 0.541
I12 I 0.648 0.332 0.041
I13 I 0.844 0.018 0.865
I14 I 0.844 0.482 0.365
I15 I 0.889 0.021 0.331
I16 I 0.889 0.479 0.831
```

[3]
An optimized crystal structure of Y2HgOs, computed with PBE-GGA.

Summary:
- Symmetry: P4mm
- Formation energy: 0.142 eV per atom
- N(E_F): 0.82 states/eV/atom
- VASP energy: -5.9725 eV per atom

Structure (CIF):
```
data_Y2HgOs
_cell_length_a 3.473
_cell_length_b 3.473
_cell_length_c 8.116
_cell_angle_alpha 90.00
_cell_angle_beta 90.00
_cell_angle_gamma 90.00
_symmetry_space_group_name_H-M 'P 1'
_symmetry_Int_Tables_number 1
loop_
_symmetry_equiv_pos_as_xyz
'x,y,z'
loop_
_atom_site_label
_atom_site_type_symbol
_atom_site_fract_x
_atom_site_fract_y
_atom_site_fract_z
Y1 Y 0.000 0.000 0.000
Y2 Y 0.500 0.500 0.379
Hg1 Hg 0.000 0.000 0.612
Os1 Os 0.500 0.500 0.808
```

[4]
An optimized crystal structure of LaInHgBi, computed with PBE-GGA.

Summary:
- Symmetry: F-43m
- Formation energy: -0.390 eV per atom
- Relative energy among the computed polymorphs: 133 meV per atom
- N(E_F): 0.91 states/eV/atom
- VASP energy: -3.3526 eV per atom

Structure (CIF):
```
data_LaInHgBi
_cell_length_a 5.528
_cell_length_b 5.528
_cell_length_c 5.528
_cell_angle_alpha 60.00
_cell_angle_beta 60.00
_cell_angle_gamma 60.00
_symmetry_space_group_name_H-M 'P 1'
_symmetry_Int_Tables_number 1
loop_
_symmetry_equiv_pos_as_xyz
'x,y,z'
loop_
_atom_site_label
_atom_site_type_symbol
_atom_site_fract_x
_atom_site_fract_y
_atom_site_fract_z
La1 La 0.000 0.000 0.000
In1 In 0.500 0.500 0.500
Hg1 Hg 0.250 0.250 0.250
Bi1 Bi 0.750 0.750 0.750
```

[5]
An optimized crystal structure of HoEr2Sc, computed with PBE-GGA.

Summary:
- Symmetry: Cm
- Formation energy: 0.026 eV per atom
- Relative energy among the computed polymorphs: 0 meV per atom
- N(E_F): 1.68 states/eV/atom
- VASP energy: -4.9826 eV per atom

Structure (CIF):
```
data_HoEr2Sc
_cell_length_a 3.478
_cell_length_b 3.478
_cell_length_c 11.303
_cell_angle_alpha 98.85
_cell_angle_beta 98.85
_cell_angle_gamma 60.01
_symmetry_space_group_name_H-M 'P 1'
_symmetry_Int_Tables_number 1
loop_
_symmetry_equiv_pos_as_xyz
'x,y,z'
loop_
_atom_site_label
_atom_site_type_symbol
_atom_site_fract_x
_atom_site_fract_y
_atom_site_fract_z
Ho1 Ho 0.000 0.000 0.000
Er1 Er 0.419 0.419 0.258
Er2 Er 0.578 0.578 0.739
Sc1 Sc 0.165 0.165 0.497
```

[6]
An optimized crystal structure of Mg2FeBr, computed with PBE-GGA.

Summary:
- Symmetry: Cmm2
- Uncorrected formation energy: 0.179 eV/atom
- Relative energy among the computed polymorphs: 257 meV per atom
- N(E_F): 0.30 states/eV/atom
- VASP energy: -3.1526 eV per atom

Structure (CIF):
```
data_Mg2FeBr
_cell_length_a 3.221
_cell_length_b 3.221
_cell_length_c 8.683
_cell_angle_alpha 90.00
_cell_angle_beta 90.00
_cell_angle_gamma 112.18
_symmetry_space_group_name_H-M 'P 1'
_symmetry_Int_Tables_number 1
loop_
_symmetry_equiv_pos_as_xyz
'x,y,z'
loop_
_atom_site_label
_atom_site_type_symbol
_atom_site_fract_x
_atom_site_fract_y
_atom_site_fract_z
Mg1 Mg 0.000 0.000 0.000
Mg2 Mg 0.500 0.500 0.286
Fe1 Fe 0.500 0.500 0.769
Br1 Br 0.000 0.000 0.547
```

[7]
An optimized crystal structure of SrAc2PmAs4, computed with PBE-GGA.

Summary:
- Symmetry: P2/m
- Formation energy: -1.313 eV per atom
- N(E_F): 0.80 states/eV/atom
- VASP energy: -5.4691 eV per atom

Structure (CIF):
```
data_SrAc2PmAs4
_cell_length_a 7.668
_cell_length_b 4.466
_cell_length_c 7.765
_cell_angle_alpha 90.00
_cell_angle_beta 109.61
_cell_angle_gamma 90.00
_symmetry_space_group_name_H-M 'P 1'
_symmetry_Int_Tables_number 1
loop_
_symmetry_equiv_pos_as_xyz
'x,y,z'
loop_
_atom_site_label
_atom_site_type_symbol
_atom_site_fract_x
_atom_site_fract_y
_atom_site_fract_z
Sr1 Sr 0.000 0.000 0.000
Ac1 Ac 0.500 0.000 0.500
Ac2 Ac 0.500 0.500 0.000
Pm1 Pm 0.000 0.500 0.500
As1 As 0.239 0.000 0.739
As2 As 0.245 0.500 0.257
As3 As 0.755 0.500 0.743
As4 As 0.761 0.000 0.261
```

[8]
An optimized crystal structure of Pm5DyIn2, computed with PBE-GGA.

Summary:
- Symmetry: Immm
- Formation energy: -0.158 eV per atom
- Relative energy among the computed polymorphs: 116 meV per atom
- N(E_F): 1.44 states/eV/atom
- VASP energy: -4.3873 eV per atom

Structure (CIF):
```
data_Pm5DyIn2
_cell_length_a 8.524
_cell_length_b 8.524
_cell_length_c 8.524
_cell_angle_alpha 155.25
_cell_angle_beta 99.98
_cell_angle_gamma 85.33
_symmetry_space_group_name_H-M 'P 1'
_symmetry_Int_Tables_number 1
loop_
_symmetry_equiv_pos_as_xyz
'x,y,z'
loop_
_atom_site_label
_atom_site_type_symbol
_atom_site_fract_x
_atom_site_fract_y
_atom_site_fract_z
Pm1 Pm 0.000 0.000 0.000
Pm2 Pm 0.083 0.362 0.721
Pm3 Pm 0.359 0.638 0.721
Pm4 Pm 0.641 0.362 0.279
Pm5 Pm 0.917 0.638 0.279
Dy1 Dy 0.500 0.000 0.500
In1 In 0.274 0.274 0.000
In2 In 0.726 0.726 0.000
```

[9]
An optimized crystal structure of AcZnHgBi, computed with PBE-GGA.

Summary:
- Symmetry: F-43m
- Formation energy: -0.348 eV per atom
- N(E_F): 0.33 states/eV/atom
- VASP energy: -2.7390 eV per atom

Structure (CIF):
```
data_AcZnHgBi
_cell_length_a 5.462
_cell_length_b 5.462
_cell_length_c 5.462
_cell_angle_alpha 60.00
_cell_angle_beta 60.00
_cell_angle_gamma 60.00
_symmetry_space_group_name_H-M 'P 1'
_symmetry_Int_Tables_number 1
loop_
_symmetry_equiv_pos_as_xyz
'x,y,z'
loop_
_atom_site_label
_atom_site_type_symbol
_atom_site_fract_x
_atom_site_fract_y
_atom_site_fract_z
Ac1 Ac 0.000 0.000 0.000
Zn1 Zn 0.250 0.250 0.250
Hg1 Hg 0.750 0.750 0.750
Bi1 Bi 0.500 0.500 0.500
```

[10]
An optimized crystal structure of Rb4CuF7, computed with PBE-GGA.

Summary:
- Symmetry: C2/m
- Uncorrected formation energy: -2.306 eV/atom
- N(E_F): 1.46 states/eV/atom
- VASP energy: -4.0611 eV per atom

Structure (CIF):
```
data_Rb4CuF7
_cell_length_a 7.690
_cell_length_b 7.690
_cell_length_c 9.320
_cell_angle_alpha 120.32
_cell_angle_beta 120.32
_cell_angle_gamma 32.39
_symmetry_space_group_name_H-M 'P 1'
_symmetry_Int_Tables_number 1
loop_
_symmetry_equiv_pos_as_xyz
'x,y,z'
loop_
_atom_site_label
_atom_site_type_symbol
_atom_site_fract_x
_atom_site_fract_y
_atom_site_fract_z
Rb1 Rb 0.056 0.056 0.243
Rb2 Rb 0.221 0.221 0.813
Rb3 Rb 0.779 0.779 0.187
Rb4 Rb 0.944 0.944 0.757
Cu1 Cu 0.500 0.500 0.500
F1 F 0.000 0.000 0.500
F2 F 0.143 0.143 0.047
F3 F 0.368 0.368 0.484
F4 F 0.433 0.433 0.266
F5 F 0.567 0.567 0.734
F6 F 0.632 0.632 0.516
F7 F 0.857 0.857 0.953
```

[11]
An optimized crystal structure of PaBiAs, computed with PBE-GGA.

Summary:
- Symmetry: I4/mmm
- Formation energy: -0.542 eV per atom
- Relative energy among the computed polymorphs: 0 meV per atom
- N(E_F): 1.17 states/eV/atom
- VASP energy: -6.5505 eV per atom

Structure (CIF):
```
data_PaBiAs
_cell_length_a 9.197
_cell_length_b 9.197
_cell_length_c 9.197
_cell_angle_alpha 153.26
_cell_angle_beta 153.26
_cell_angle_gamma 38.17
_symmetry_space_group_name_H-M 'P 1'
_symmetry_Int_Tables_number 1
loop_
_symmetry_equiv_pos_as_xyz
'x,y,z'
loop_
_atom_site_label
_atom_site_type_symbol
_atom_site_fract_x
_atom_site_fract_y
_atom_site_fract_z
Pa1 Pa 0.157 0.157 0.000
Pa2 Pa 0.843 0.843 0.000
Bi1 Bi 0.000 0.500 0.500
Bi2 Bi 0.500 0.000 0.500
As1 As 0.321 0.321 0.000
As2 As 0.679 0.679 0.000
```

[12]
An optimized crystal structure of Np2NbGa6, computed with PBE-GGA.

Summary:
- Symmetry: P6/mmm
- Formation energy: -0.042 eV per atom
- N(E_F): 1.18 states/eV/atom
- VASP energy: -6.0544 eV per atom

Structure (CIF):
```
data_Np2NbGa6
_cell_length_a 8.198
_cell_length_b 8.198
_cell_length_c 2.655
_cell_angle_alpha 90.00
_cell_angle_beta 90.00
_cell_angle_gamma 120.00
_symmetry_space_group_name_H-M 'P 1'
_symmetry_Int_Tables_number 1
loop_
_symmetry_equiv_pos_as_xyz
'x,y,z'
loop_
_atom_site_label
_atom_site_type_symbol
_atom_site_fract_x
_atom_site_fract_y
_atom_site_fract_z
Np1 Np 0.333 0.667 0.000
Np2 Np 0.667 0.333 0.000
Nb1 Nb 0.000 0.000 0.000
Ga1 Ga 0.000 0.321 0.500
Ga2 Ga 0.000 0.679 0.500
Ga3 Ga 0.321 0.000 0.500
Ga4 Ga 0.321 0.321 0.500
Ga5 Ga 0.679 0.000 0.500
Ga6 Ga 0.679 0.679 0.500
```